## i
Ta2Mn2Sb after structural relaxation. Source: the Alexandria database, functional PBE.

Magnetization (μB/f.u.): 3.71
SG: P4/mbm (127)
Density of states at the Fermi level (states/eV per cell): 6.262
Crystal system: tetragonal

Lattice parameters (Å, degrees): 6.890 6.890 3.452 90.00 90.00 90.00
Atoms (fractional coordinates):
Ta  0.175  0.325  0.000
Ta  0.325  0.825  0.000
Ta  0.675  0.175  0.000
Ta  0.825  0.675  0.000
Mn  0.120  0.620  0.500
Mn  0.380  0.120  0.500
Mn  0.620  0.880  0.500
Mn  0.880  0.380  0.500
Sb  0.000  0.000  0.500
Sb  0.500  0.500  0.500

---

## ii
Ta2Mn2Sb after structural relaxation. Source: the Alexandria database, functional PBE.

Magnetization (μB/f.u.): 0.00
SG: I4/mmm (139)
Density of states at the Fermi level (states/eV per cell): 4.674
Crystal system: tetragonal

Lattice parameters (Å, degrees): 5.858 5.858 5.858 138.59 138.59 60.00
Atoms (fractional coordinates):
Ta  0.250  0.750  0.500
Ta  0.750  0.250  0.500
Mn  0.108  0.108  0.000
Mn  0.892  0.892  0.000
Sb  0.500  0.500  0.000

---

Which structure wins on stability? i wins.

---

## i
Ta3MnSb after structural relaxation. Source: the Alexandria database, functional PBE.

Magnetization (μB/f.u.): 0.69
SG: Pm-3m (221)
Density of states at the Fermi level (states/eV per cell): 8.023
Crystal system: cubic

Lattice parameters (Å, degrees): 4.961 4.961 4.961 90.00 90.00 90.00
Atoms (fractional coordinates):
Ta  0.000  0.000  0.500
Ta  0.000  0.500  0.000
Ta  0.500  0.000  0.000
Mn  0.500  0.500  0.500
Sb  0.000  0.000  0.000

---

## ii
Ta3MnSb after structural relaxation. Source: the Alexandria database, functional PBE.

Magnetization (μB/f.u.): 0.00
SG: Pm-3m (221)
Density of states at the Fermi level (states/eV per cell): 5.227
Crystal system: cubic

Lattice parameters (Å, degrees): 4.632 4.632 4.632 90.00 90.00 90.00
Atoms (fractional coordinates):
Ta  0.000  0.000  0.500
Ta  0.000  0.500  0.000
Ta  0.500  0.000  0.000
Mn  0.000  0.000  0.000
Sb  0.500  0.500  0.500

---

Which structure wins on stability? ii wins.

---

## i
TaMn2Sb2 after structural relaxation. Source: the Alexandria database, functional PBE.

Magnetization (μB/f.u.): 0.00
SG: P4/mbm (127)
Density of states at the Fermi level (states/eV per cell): 13.008
Crystal system: tetragonal

Lattice parameters (Å, degrees): 6.768 6.768 3.676 90.00 90.00 90.00
Atoms (fractional coordinates):
Ta  0.000  0.000  0.000
Ta  0.500  0.500  0.000
Mn  0.119  0.381  0.000
Mn  0.381  0.881  0.000
Mn  0.619  0.119  0.000
Mn  0.881  0.619  0.000
Sb  0.177  0.677  0.500
Sb  0.323  0.177  0.500
Sb  0.677  0.823  0.500
Sb  0.823  0.323  0.500

---

## ii
TaMn2Sb2 after structural relaxation. Source: the Alexandria database, functional PBE.

Magnetization (μB/f.u.): 2.36
SG: I4/mmm (139)
Density of states at the Fermi level (states/eV per cell): 5.976
Crystal system: tetragonal

Lattice parameters (Å, degrees): 5.152 5.152 5.152 124.02 124.02 83.17
Atoms (fractional coordinates):
Ta  0.000  0.000  0.000
Mn  0.368  0.368  0.000
Mn  0.632  0.632  0.000
Sb  0.250  0.750  0.500
Sb  0.750  0.250  0.500

---

Which structure wins on stability? i wins.